# 1
Entry from Alexandria: Pm2Pr6Nd3In after structural relaxation (GGA-PBE).

Cell: 6.3255 6.3255 12.0830 Å, 95.11 95.11 120.22°
With the nearest neighbours (Å) after each atom.
Atoms (fractional coordinates):
Pr (0.4056, 0.0809, 0.2453)  6 Pr 3.55-3.70, 1 In 3.56, 2 Pm 3.61-3.62, 3 Nd 3.67-3.70
Nd (0.1692, 0.8308, 0.5000)  6 Nd 3.62-3.71, 6 Pr 3.67-3.70
Nd (0.5000, 0.5000, 0.5000)  6 Nd 3.63-3.66, 6 Pr 3.67-3.71
Pr (0.0809, 0.4056, 0.2453)  6 Pr 3.55-3.70, 1 In 3.56, 2 Pm 3.61-3.62, 3 Nd 3.67-3.70
Pm (0.3338, 0.6662, 0.0000)  6 Pr 3.61-3.62, 3 In 3.64-3.66, 3 Pm 3.65
Pr (0.7574, 0.7574, 0.2469)  6 Pr 3.55-3.70, 1 In 3.59, 2 Pm 3.62, 3 Nd 3.67-3.71
Nd (0.8308, 0.1692, 0.5000)  6 Nd 3.62-3.71, 6 Pr 3.67-3.70
Pr (0.5944, 0.9191, 0.7547)  6 Pr 3.55-3.70, 1 In 3.56, 2 Pm 3.61-3.62, 3 Nd 3.67-3.70
Pr (0.2426, 0.2426, 0.7531)  6 Pr 3.55-3.70, 1 In 3.59, 2 Pm 3.62, 3 Nd 3.67-3.71
Pr (0.9191, 0.5944, 0.7547)  6 Pr 3.55-3.70, 1 In 3.56, 2 Pm 3.61-3.62, 3 Nd 3.67-3.70
Pm (0.6662, 0.3338, 0.0000)  6 Pr 3.61-3.62, 3 In 3.64-3.66, 3 Pm 3.65
In (0.0000, 0.0000, 0.0000)  6 Pr 3.56-3.59, 6 Pm 3.64-3.66

Output
DOS at the Fermi energy	15.58	states/eV/cell
spin magnetization	0.000	μB/cell
ρ	6.80	Mg/m³
ΔH_f (0 K)	-0.045	eV/atom
total DFT energy (no corrections)	-4.647	eV per atom

---

# 2
Entry from Alexandria: TeIrS after structural relaxation (GGA-PBE).

Cell: 5.2457 3.7557 3.7557 Å, 120.00 90.00 90.00°
With the nearest neighbours (Å) after each atom.
Atoms (fractional coordinates):
Ir (0.3055, 0.6667, 0.3333)  3 S 2.43, 3 Te 2.65
Te (0.5965, 0.3333, 0.6667)  3 Ir 2.65
S (0.0980, 0.0000, 0.0000)  3 Ir 2.43

Output
offset from the most stable computed form	0.049	eV per atom
DOS at the Fermi energy	3.04	states/eV/cell
formation energy without anion corrections	-0.19	eV/atom
spin magnetization	0.000	μB/cell
ρ	9.12	Mg/m³
total DFT energy (no corrections)	-5.569	eV per atom

---

# 3
Entry from Alexandria: Cs2NdHI6 after structural relaxation (GGA-PBE).

Cell: 8.7822 8.1560 9.7139 Å, 55.78 54.27 71.67°
With the nearest neighbours (Å) after each atom.
Atoms (fractional coordinates):
I (0.8221, 0.7287, 0.0012)  1 Nd 3.08
I (0.2243, 0.2249, 0.5497)  1 Nd 3.09
I (0.1779, 0.2713, 0.9988)  1 Nd 3.08
I (0.3661, 0.7383, 0.9996)  1 H 1.93
Nd (0.0000, 0.0000, 0.0000)  6 I 3.08-3.25
I (0.6339, 0.2617, 0.0004)  1 H 1.93
H (0.5000, 0.5000, 0.0000)  2 I 1.93
Cs (0.7285, 0.2285, 0.5434)  10 I 4.13-4.40
Cs (0.2715, 0.7715, 0.4566)  10 I 4.13-4.40
I (0.7757, 0.7751, 0.4503)  1 Nd 3.09

Output
DOS at the Fermi energy	0.00	states/eV/cell
spin magnetization	0.000	μB/cell
ρ	4.17	Mg/m³
total DFT energy (no corrections)	-3.064	eV per atom

---

# 4
Entry from Alexandria: RbCdPt2Pb after structural relaxation (GGA-PBE).

Cell: 5.2771 5.7266 5.2771 Å, 90.00 90.00 90.00°
With the nearest neighbours (Å) after each atom.
Atoms (fractional coordinates):
Pt (0.5000, 0.0000, 0.0000)  2 Rb 2.64
Pt (0.0000, 0.0000, 0.5000)  2 Rb 2.64
Rb (0.0000, 0.0000, 0.0000)  4 Pt 2.64, 2 Cd 2.86
Cd (0.0000, 0.5000, 0.0000)  2 Rb 2.86
Pb (0.5000, 0.5000, 0.5000)  4 Cd 3.73, 8 Pt 3.89

Output
DOS at the Fermi energy	4.11	states/eV/cell
spin magnetization	0.000	μB/cell
ρ	8.28	Mg/m³
ΔH_f (0 K)	1.460	eV/atom
total DFT energy (no corrections)	-2.074	eV per atom